Version w
An optimized crystal structure of Pa2Ge3Rh5. Source: the Alexandria database, functional GGA-PBE.

Lattice parameters (Å, degrees): 5.7464 8.3523 8.3523 86.78 69.88 69.88
Fractional coordinates of all 20 atoms:
Pa 0.1290 0.5910 0.1510
Pa 0.6290 0.1510 0.5910
Pa 0.8710 0.4090 0.8490
Pa 0.3710 0.8490 0.4090
Ge 0.3616 0.5212 0.7556
Ge 0.8616 0.7556 0.5212
Ge 0.6384 0.4788 0.2444
Ge 0.1384 0.2444 0.4788
Ge 0.2500 0.0000 0.0000
Ge 0.7500 0.0000 0.0000
Rh 0.4020 0.2730 0.9231
Rh 0.9020 0.9231 0.2730
Rh 0.5980 0.7270 0.0769
Rh 0.0980 0.0769 0.7270
Rh 0.4778 0.7722 0.7722
Rh 0.5222 0.2278 0.2278
Rh 0.7500 0.5000 0.5000
Rh 0.2500 0.5000 0.5000
Rh 0.0222 0.2278 0.2278
Rh 0.9778 0.7722 0.7722

Output
Space-group type: No. 72
V: 352.5 Å³ per cell
Spin magnetization: 0.0 Bohr magnetons per cell

---

Version x
An optimized crystal structure of Pa2Ge3Rh5. Source: the Alexandria database, functional GGA-PBE.

Lattice parameters (Å, degrees): 4.1074 6.8232 12.5837 90.00 99.39 90.00
Fractional coordinates of all 20 atoms:
Pa 0.4849 0.7526 0.9698
Pa 0.1744 0.7549 0.3487
Pa 0.8256 0.2549 0.6513
Pa 0.5151 0.2526 0.0302
Ge 0.7729 0.7456 0.5458
Ge 0.6157 0.4751 0.2314
Ge 0.0563 0.9790 0.1127
Ge 0.2271 0.2456 0.4542
Ge 0.9437 0.4790 0.8873
Ge 0.3843 0.9751 0.7686
Rh 0.4021 0.3413 0.8042
Rh 0.2968 0.5257 0.5935
Rh 0.7032 0.0257 0.4065
Rh 0.1272 0.2569 0.2545
Rh 0.2852 0.9526 0.5703
Rh 0.9504 0.0811 0.9007
Rh 0.7148 0.4526 0.4297
Rh 0.8728 0.7569 0.7455
Rh 0.0496 0.5811 0.0993
Rh 0.5979 0.8413 0.1958

Output
Space-group type: No. 36
V: 347.9 Å³ per cell
Spin magnetization: 0.0 Bohr magnetons per cell

---

Bottom line: version w, by a margin of 43 meV per atom.

---

Version w
An optimized crystal structure of PaGeRh6. Source: the Alexandria database, functional GGA-PBE.

Lattice parameters (Å, degrees): 3.9699 5.6017 5.6017 89.84 90.00 90.00
Fractional coordinates of all 8 atoms:
Pa 0.5000 0.0000 0.0000
Ge 0.5000 0.5000 0.5000
Rh 0.0000 0.7427 0.2573
Rh 0.0000 0.2573 0.7427
Rh 0.0000 0.7448 0.7448
Rh 0.0000 0.2552 0.2552
Rh 0.5000 0.5000 0.0000
Rh 0.5000 0.0000 0.5000

Output
Space-group type: No. 65
V: 124.6 Å³ per cell
Spin magnetization: 0.0 Bohr magnetons per cell

---

Version x
An optimized crystal structure of PaGeRh6. Source: the Alexandria database, functional GGA-PBE.

Lattice parameters (Å, degrees): 5.1055 5.1055 5.5434 93.51 93.51 89.66
Fractional coordinates of all 8 atoms:
Pa 0.5000 0.5000 0.5000
Ge 0.0000 0.0000 0.0000
Rh 0.0443 0.6684 0.3231
Rh 0.6684 0.0443 0.3231
Rh 0.3316 0.9557 0.6769
Rh 0.9557 0.3316 0.6769
Rh 0.3334 0.3334 0.0570
Rh 0.6666 0.6666 0.9430

Output
Space-group type: No. 12
V: 144.0 Å³ per cell
Spin magnetization: 0.0 Bohr magnetons per cell

---

Bottom line: version w, by a margin of 512 meV per atom.

---

Version w
An optimized crystal structure of Pa2GeRu. Source: the Alexandria database, functional GGA-PBE.

Lattice parameters (Å, degrees): 4.2426 4.3297 4.3297 90.00 90.00 90.00
Fractional coordinates of all 4 atoms:
Ru 0.5000 0.0000 0.0000
Ge 0.5000 0.5000 0.5000
Pa 0.0000 0.0000 0.5000
Pa 0.0000 0.5000 0.0000

Output
Space-group type: No. 123
V: 79.5 Å³ per cell
Spin magnetization: 0.0 Bohr magnetons per cell

---

Version x
An optimized crystal structure of Pa2GeRu. Source: the Alexandria database, functional GGA-PBE.

Lattice parameters (Å, degrees): 3.9293 5.8524 8.2974 113.17 90.00 90.00
Fractional coordinates of all 8 atoms:
Pa 0.7500 0.2154 0.4033
Pa 0.2500 0.7846 0.5967
Pa 0.2500 0.7843 0.0615
Pa 0.7500 0.2157 0.9385
Ge 0.7500 0.6671 0.3017
Ge 0.2500 0.3329 0.6983
Ru 0.2500 0.3097 0.1971
Ru 0.7500 0.6903 0.8029

Output
Space-group type: No. 11
V: 175.4 Å³ per cell
Spin magnetization: 0.0 Bohr magnetons per cell

---

Bottom line: version x, by a margin of 117 meV per atom.

---

Version w
An optimized crystal structure of Pa2GeRu. Source: the Alexandria database, functional GGA-PBE.

Lattice parameters (Å, degrees): 3.6972 3.6972 6.0322 90.00 90.00 90.00
Fractional coordinates of all 4 atoms:
Ru 0.5000 0.5000 0.5000
Ge 0.5000 0.5000 0.0000
Pa 0.0000 0.0000 0.7488
Pa 0.0000 0.0000 0.2512

Output
Space-group type: No. 123
V: 82.5 Å³ per cell
Spin magnetization: 0.0 Bohr magnetons per cell

---

Version x
An optimized crystal structure of Pa2GeRu. Source: the Alexandria database, functional GGA-PBE.

Lattice parameters (Å, degrees): 3.1299 3.1299 10.2370 81.21 81.21 60.00
Fractional coordinates of all 4 atoms:
Ru 0.0000 0.0000 0.0000
Ge 0.5000 0.5000 0.5000
Pa 0.0829 0.0829 0.7512
Pa 0.9171 0.9171 0.2488

Output
Space-group type: No. 166
V: 85.5 Å³ per cell
Spin magnetization: 0.0 Bohr magnetons per cell

---

Bottom line: version w, by a margin of 465 meV per atom.

---

Version w
An optimized crystal structure of Pa2Ge3Ru5. Source: the Alexandria database, functional GGA-PBE.

Lattice parameters (Å, degrees): 5.7469 8.3566 8.3566 86.55 69.89 69.89
Fractional coordinates of all 20 atoms:
Pa 0.1293 0.6118 0.1297
Pa 0.6293 0.1297 0.6118
Pa 0.8707 0.3882 0.8703
Pa 0.3707 0.8703 0.3882
Ge 0.3674 0.5162 0.7490
Ge 0.8674 0.7490 0.5162
Ge 0.6326 0.4838 0.2510
Ge 0.1326 0.2510 0.4838
Ge 0.2500 0.0000 0.0000
Ge 0.7500 0.0000 0.0000
Ru 0.3810 0.2903 0.9477
Ru 0.8810 0.9477 0.2903
Ru 0.6190 0.7097 0.0523
Ru 0.1190 0.0523 0.7097
Ru 0.4773 0.7727 0.7727
Ru 0.5227 0.2273 0.2273
Ru 0.7500 0.5000 0.5000
Ru 0.2500 0.5000 0.5000
Ru 0.0227 0.2273 0.2273
Ru 0.9773 0.7727 0.7727

Output
Space-group type: No. 72
V: 353.1 Å³ per cell
Spin magnetization: 0.0 Bohr magnetons per cell

---

Version x
An optimized crystal structure of Pa2Ge3Ru5. Source: the Alexandria database, functional GGA-PBE.

Lattice parameters (Å, degrees): 4.1980 6.5174 12.5850 90.00 99.60 90.00
Fractional coordinates of all 20 atoms:
Pa 0.4896 0.7464 0.9792
Pa 0.1741 0.7468 0.3483
Pa 0.8259 0.2468 0.6517
Pa 0.5104 0.2464 0.0208
Ge 0.7718 0.7328 0.5436
Ge 0.6106 0.4814 0.2213
Ge 0.0529 0.9772 0.1058
Ge 0.2282 0.2328 0.4564
Ge 0.9471 0.4772 0.8942
Ge 0.3894 0.9814 0.7787
Ru 0.3964 0.3991 0.7928
Ru 0.2959 0.5194 0.5918
Ru 0.7041 0.0194 0.4082
Ru 0.1295 0.2356 0.2589
Ru 0.2904 0.9357 0.5809
Ru 0.9460 0.0904 0.8920
Ru 0.7096 0.4357 0.4191
Ru 0.8705 0.7356 0.7411
Ru 0.0540 0.5904 0.1080
Ru 0.6036 0.8991 0.2072

Output
Space-group type: No. 36
V: 339.5 Å³ per cell
Spin magnetization: 0.0 Bohr magnetons per cell

---

Bottom line: version x, by a margin of 61 meV per atom.

---

Version w
An optimized crystal structure of PaTcGeRu. Source: the Alexandria database, functional GGA-PBE.

Lattice parameters (Å, degrees): 3.5051 4.7102 4.7503 90.00 90.00 90.00
Fractional coordinates of all 4 atoms:
Pa 0.5000 0.5000 0.5000
Tc 0.0000 0.0000 0.5000
Ge 0.0000 0.0000 0.0000
Ru 0.0000 0.5000 0.0000

Output
Space-group type: No. 47
V: 78.4 Å³ per cell
Spin magnetization: 0.0 Bohr magnetons per cell

---

Version x
An optimized crystal structure of PaTcGeRu. Source: the Alexandria database, functional GGA-PBE.

Lattice parameters (Å, degrees): 4.6255 4.6255 4.6255 60.00 60.00 60.00
Fractional coordinates of all 4 atoms:
Ru 0.5000 0.5000 0.5000
Ge 0.2500 0.2500 0.2500
Pa 0.7500 0.7500 0.7500
Tc 0.0000 0.0000 0.0000

Output
Space-group type: No. 216
V: 70.0 Å³ per cell
Spin magnetization: 0.0 Bohr magnetons per cell

---

Bottom line: version x, by a margin of 305 meV per atom.

---

Version w
An optimized crystal structure of PaGeS. Source: the Alexandria database, functional GGA-PBE.

Lattice parameters (Å, degrees): 3.7735 4.5098 4.5098 120.00 90.00 90.00
Fractional coordinates of all 3 atoms:
Ge 0.6669 0.3333 0.6667
Pa 0.1669 0.6667 0.3333
S 0.1662 0.0000 0.0000

Output
Space-group type: No. 187
V: 66.5 Å³ per cell
Spin magnetization: 0.0 Bohr magnetons per cell

---

Version x
An optimized crystal structure of PaGeS. Source: the Alexandria database, functional GGA-PBE.

Lattice parameters (Å, degrees): 3.8766 3.8766 8.5599 103.09 103.09 90.00
Fractional coordinates of all 6 atoms:
Pa 0.3562 0.3562 0.7125
Pa 0.6438 0.6438 0.2875
Ge 0.0000 0.5000 0.0000
Ge 0.5000 0.0000 0.0000
S 0.1821 0.1821 0.3642
S 0.8179 0.8179 0.6358

Output
Space-group type: No. 139
V: 121.9 Å³ per cell
Spin magnetization: 0.6 Bohr magnetons per cell

---

Bottom line: version x, by a margin of 523 meV per atom.

---

Version w
An optimized crystal structure of ScPaGe. Source: the Alexandria database, functional GGA-PBE.

Lattice parameters (Å, degrees): 3.6468 7.1124 10.8268 90.00 90.00 90.00
Fractional coordinates of all 12 atoms:
Ge 0.2500 0.9277 0.4279
Ge 0.7500 0.0723 0.5721
Ge 0.7500 0.4277 0.0721
Ge 0.2500 0.5723 0.9279
Pa 0.2500 0.8722 0.7406
Pa 0.7500 0.1278 0.2594
Pa 0.7500 0.3722 0.7594
Pa 0.2500 0.6278 0.2406
Sc 0.2500 0.3266 0.4810
Sc 0.7500 0.6734 0.5190
Sc 0.7500 0.8266 0.0190
Sc 0.2500 0.1734 0.9810

Output
Space-group type: No. 62
V: 280.8 Å³ per cell
Spin magnetization: 0.0 Bohr magnetons per cell

---

Version x
An optimized crystal structure of ScPaGe. Source: the Alexandria database, functional GGA-PBE.

Lattice parameters (Å, degrees): 3.3157 4.8167 4.8167 120.00 90.00 90.00
Fractional coordinates of all 3 atoms:
Sc 0.4939 0.6667 0.3333
Ge 0.5111 0.3333 0.6667
Pa 0.9950 0.0000 0.0000

Output
Space-group type: No. 156
V: 66.6 Å³ per cell
Spin magnetization: 0.5 Bohr magnetons per cell

---

Version y
An optimized crystal structure of ScPaGe. Source: the Alexandria database, functional GGA-PBE.

Lattice parameters (Å, degrees): 4.0972 4.0972 8.3843 104.14 104.14 90.00
Fractional coordinates of all 6 atoms:
Sc 0.1755 0.1755 0.3510
Sc 0.8245 0.8245 0.6490
Pa 0.0000 0.5000 0.0000
Pa 0.5000 0.0000 0.0000
Ge 0.3544 0.3544 0.7087
Ge 0.6456 0.6456 0.2913

Output
Space-group type: No. 139
V: 132.1 Å³ per cell
Spin magnetization: 0.0 Bohr magnetons per cell

---

Bottom line: version y, by a margin of 412 meV per atom.

---

Version w
An optimized crystal structure of ScPa2Ge. Source: the Alexandria database, functional GGA-PBE.

Lattice parameters (Å, degrees): 3.1426 3.1426 11.5599 82.19 82.19 60.00
Fractional coordinates of all 4 atoms:
Sc 0.5000 0.5000 0.5000
Ge 0.0000 0.0000 0.0000
Pa 0.0856 0.0856 0.7431
Pa 0.9144 0.9144 0.2569

Output
Space-group type: No. 166
V: 97.6 Å³ per cell
Spin magnetization: 0.0 Bohr magnetons per cell

---

Version x
An optimized crystal structure of ScPa2Ge. Source: the Alexandria database, functional GGA-PBE.

Lattice parameters (Å, degrees): 4.8126 4.2558 4.2558 90.00 90.00 90.00
Fractional coordinates of all 4 atoms:
Sc 0.5000 0.5000 0.5000
Ge 0.5000 0.0000 0.0000
Pa 0.0000 0.0000 0.5000
Pa 0.0000 0.5000 0.0000

Output
Space-group type: No. 123
V: 87.2 Å³ per cell
Spin magnetization: 0.0 Bohr magnetons per cell

---

Bottom line: version x, by a margin of 550 meV per atom.

---

Version w
An optimized crystal structure of Pa2Ge2Se7. Source: the Alexandria database, functional GGA-PBE.

Lattice parameters (Å, degrees): 8.4838 7.1088 7.1088 112.95 93.10 93.10
Fractional coordinates of all 11 atoms:
Pa 0.0000 0.3266 0.6734
Pa 0.0000 0.6734 0.3266
Ge 0.3759 0.2634 0.2634
Ge 0.6241 0.7366 0.7366
Se 0.8216 0.9600 0.6089
Se 0.1784 0.3911 0.0400
Se 0.1784 0.0400 0.3911
Se 0.8216 0.6089 0.9600
Se 0.5000 0.0000 0.0000
Se 0.1995 0.6089 0.6089
Se 0.8005 0.3911 0.3911

Output
Space-group type: No. 12
V: 392.9 Å³ per cell
Spin magnetization: 0.0 Bohr magnetons per cell

---

Version x
An optimized crystal structure of Pa2Ge2Se7. Source: the Alexandria database, functional GGA-PBE.

Lattice parameters (Å, degrees): 9.3611 9.3611 9.3611 60.00 60.00 60.00
Fractional coordinates of all 22 atoms:
Pa 0.6250 0.6250 0.6250
Pa 0.6250 0.6250 0.1250
Pa 0.6250 0.1250 0.6250
Pa 0.1250 0.6250 0.6250
Ge 0.6250 0.1250 0.1250
Ge 0.1250 0.6250 0.1250
Ge 0.1250 0.1250 0.6250
Ge 0.1250 0.1250 0.1250
Se 0.2385 0.2385 0.7615
Se 0.2385 0.7615 0.2385
Se 0.4885 0.0115 0.4885
Se 0.4885 0.4885 0.0115
Se 0.7500 0.7500 0.7500
Se 0.7615 0.2385 0.2385
Se 0.4885 0.0115 0.0115
Se 0.0115 0.4885 0.4885
Se 0.0115 0.0115 0.4885
Se 0.0115 0.4885 0.0115
Se 0.2385 0.7615 0.7615
Se 0.5000 0.5000 0.5000
Se 0.7615 0.2385 0.7615
Se 0.7615 0.7615 0.2385

Output
Space-group type: No. 227
V: 580.1 Å³ per cell
Spin magnetization: 0.0 Bohr magnetons per cell

---

Bottom line: version x, by a margin of 39 meV per atom.

---

Version w
An optimized crystal structure of Pa2GeSe6. Source: the Alexandria database, functional GGA-PBE.

Lattice parameters (Å, degrees): 3.8738 7.2540 10.1549 79.88 79.00 74.51
Fractional coordinates of all 9 atoms:
Pa 0.3135 0.0774 0.2956
Pa 0.6865 0.9226 0.7044
Ge 0.0000 0.0000 0.0000
Se 0.7851 0.3000 0.1298
Se 0.2149 0.7000 0.8702
Se 0.3439 0.7796 0.5326
Se 0.9802 0.7978 0.2418
Se 0.0198 0.2023 0.7582
Se 0.6561 0.2204 0.4674

Output
Space-group type: No. 12
V: 267.6 Å³ per cell
Spin magnetization: 0.0 Bohr magnetons per cell

---

Version x
An optimized crystal structure of Pa2GeSe6. Source: the Alexandria database, functional GGA-PBE.

Lattice parameters (Å, degrees): 6.7729 7.0221 10.1015 90.00 81.15 90.00
Fractional coordinates of all 18 atoms:
Pa 0.0527 0.6159 0.7822
Pa 0.4473 0.1159 0.7178
Pa 0.5527 0.8841 0.2822
Pa 0.9473 0.3841 0.2178
Ge 0.5000 0.5000 0.0000
Ge 0.0000 0.0000 0.5000
Se 0.1928 0.0772 0.2506
Se 0.1816 0.3274 0.5922
Se 0.1752 0.3130 0.9401
Se 0.3248 0.8130 0.5599
Se 0.3184 0.8274 0.9078
Se 0.3072 0.5772 0.2494
Se 0.8072 0.9228 0.7494
Se 0.8184 0.6726 0.4078
Se 0.8248 0.6870 0.0599
Se 0.6752 0.1870 0.4401
Se 0.6816 0.1726 0.0922
Se 0.6928 0.4228 0.7506

Output
Space-group type: No. 14
V: 474.7 Å³ per cell
Spin magnetization: 0.0 Bohr magnetons per cell

---

Bottom line: version x, by a margin of 47 meV per atom.